Entry from Alexandria via LeMat-Bulk: AgIrPt3 after structural relaxation (GGA-PBE).

```
data_AgIrPt3
_space_group_name_H-M_alt 'P m -3 m'
_space_group_IT_number 221
_space_group_name_Hall '-P 4 2 3'
_cell_length_a 4.849
_cell_length_b 4.849
_cell_length_c 4.849
_cell_angle_alpha 90.00
_cell_angle_beta 90.00
_cell_angle_gamma 90.00
loop_
_atom_site_label
_atom_site_fract_x
_atom_site_fract_y
_atom_site_fract_z
_atom_site_occupancy
Ag1 0.000 0.000 0.000 1
Ir1 0.500 0.500 0.500 1
Pt1 0.000 0.500 0.500 1
```

Properties
magnetic moment	0.00	μB/f.u.
energy above the most stable polymorph in this dataset	0	meV per atom
density of states at the Fermi level	9.45	states/eV per cell